1.
# Y2TiOs2

Crystalline Y2TiOs2 at its relaxed geometry (GGA-PBE, the Alexandria database).

- theoretical density (g cm⁻³) = 9.53
- crystal system = tetragonal
- formation energy (eV per atom) = -0.19
- calculated volume (A^3/atom) = 21.1

a = 6.821 Å, b = 6.821 Å, c = 4.540 Å
α = 90.00°, β = 90.00°, γ = 90.00°
Space group P4/mbm (No. 127)
Unique sites:
Y 0.178 0.322 0.000 (multiplicity 4)
Ti 0.000 0.000 0.500 (multiplicity 2)
Os 0.127 0.627 0.500 (multiplicity 4)


2.
# La2VGaSn

Crystalline La2VGaSn at its relaxed geometry (GGA-PBE, the Alexandria database).

- theoretical density (g cm⁻³) = 6.18
- crystal system = tetragonal
- formation energy (eV per atom) = 0.06
- calculated volume (A^3/atom) = 27.8

a = 5.296 Å, b = 5.296 Å, c = 4.957 Å
α = 90.00°, β = 90.00°, γ = 90.00°
Space group P4/mmm (No. 123)
Unique sites:
La 0.000 0.500 0.000 (multiplicity 2)
V 0.000 0.000 0.000 (multiplicity 1)
Ga 0.000 0.000 0.500 (multiplicity 1)
Sn 0.500 0.500 0.500 (multiplicity 1)


3.
# TaVPS2

Crystalline TaVPS2 at its relaxed geometry (GGA-PBE, the Alexandria database).

- formation energy without anion corrections (meV per atom) = 233
- theoretical density (g cm⁻³) = 4.97
- crystal system = tetragonal
- calculated volume (A^3/atom) = 21.8

a = 4.717 Å, b = 4.717 Å, c = 4.909 Å
α = 90.00°, β = 90.00°, γ = 90.00°
Space group P4/mmm (No. 123)
Unique sites:
Ta 0.000 0.000 0.000 (multiplicity 1)
V 0.500 0.500 0.500 (multiplicity 1)
P 0.000 0.000 0.500 (multiplicity 1)
S 0.000 0.500 0.000 (multiplicity 2)


4.
# DyPPb

Crystalline DyPPb at its relaxed geometry (GGA-PBE, the Alexandria database).

- theoretical density (g cm⁻³) = 8.03
- crystal system = trigonal
- formation energy (eV per atom) = -0.58
- calculated volume (A^3/atom) = 27.6

a = 5.0362 Å, b = 5.0362 Å, c = 22.6316 Å
α = 90.00°, β = 90.00°, γ = 120.00°
Space group R-3m (No. 166, hexagonal axes)
Unique sites:
Dy 0.0000 0.0000 0.1051 (multiplicity 6)
P 0.0000 0.0000 0.2242 (multiplicity 6)
Pb 0.0000 0.0000 0.3501 (multiplicity 6)